## PrTmOsRh (PBE)

Data for PrTmOsRh after structural relaxation.

Lattice parameters (Å, degrees): 4.9030 4.9030 4.9030 60.00 60.00 60.00
Fractional positions:
Rh 0.0000 0.0000 0.0000
Os 0.5000 0.5000 0.5000
Tm 0.2500 0.2500 0.2500
Pr 0.7500 0.7500 0.7500

E_form = -0.3211 eV per atom
uncorrected energy = -7.2791 eV/atom
calculated volume = 20.84 Å³ per atom
crystal system = cubic

## YCoNi2Ge2 (PBE)

Data for YCoNi2Ge2 after structural relaxation.

Lattice parameters (Å, degrees): 4.4191 4.4191 5.1370 90.00 90.00 90.00
Fractional positions:
Ni 0.5000 0.5000 0.2581
Ge 0.5000 0.0000 0.0000
Ge 0.0000 0.5000 0.0000
Co 0.0000 0.0000 0.0000
Ni 0.5000 0.5000 0.7419
Y 0.0000 0.0000 0.5000

E_form = -0.1539 eV per atom
uncorrected energy = -5.8818 eV/atom
calculated volume = 16.72 Å³ per atom
crystal system = tetragonal

## La2Be2Os2C (PBE)

Data for La2Be2Os2C after structural relaxation.

Lattice parameters (Å, degrees): 4.0291 5.9010 6.1147 73.61 70.76 70.04
Fractional positions:
La 0.5674 0.1780 0.6872
Be 0.8182 0.6164 0.7471
Os 0.1992 0.6827 0.9189
Os 0.8008 0.3173 0.0811
C 0.0000 0.0000 0.0000
Be 0.1818 0.3836 0.2529
La 0.4326 0.8220 0.3128

E_form = -0.1865 eV per atom
uncorrected energy = -7.1851 eV/atom
calculated volume = 18.09 Å³ per atom
crystal system = monoclinic

## BRh2S2 (PBE)

Data for BRh2S2 after structural relaxation.

Lattice parameters (Å, degrees): 3.9185 3.9185 6.0323 71.05 71.05 90.00
Fractional positions:
S 0.3722 0.3722 0.2556
B 0.0000 0.0000 0.0000
S 0.6278 0.6278 0.7444
Rh 0.7500 0.2500 0.5000
Rh 0.2500 0.7500 0.5000

ΔE_f (raw) = 0.733 eV per atom
uncorrected energy = -5.1942 eV/atom
calculated volume = 16.46 Å³ per atom
crystal system = tetragonal
energy relative to the lowest polymorph listed for this composition = 219 meV/atom

## SbS3Cl3 (PBE)

Data for SbS3Cl3 after structural relaxation.

Lattice parameters (Å, degrees): 9.7813 9.7813 9.7813 53.20 53.20 53.20
Fractional positions:
S 0.8329 0.0707 0.8341
S 0.8341 0.8329 0.0707
Cl 0.3913 0.9876 0.3901
Sb 0.6945 0.6945 0.6945
Cl 0.0124 0.6099 0.6087
Cl 0.6099 0.6087 0.0124
S 0.1671 0.9293 0.1659
Sb 0.3055 0.3055 0.3055
Cl 0.6087 0.0124 0.6099
Cl 0.9876 0.3901 0.3913
S 0.9293 0.1659 0.1671
Cl 0.3901 0.3913 0.9876
S 0.1659 0.1671 0.9293
S 0.0707 0.8341 0.8329

ΔE_f (raw) = -0.275 eV per atom
uncorrected energy = -3.4245 eV/atom
calculated volume = 39.74 Å³ per atom
crystal system = trigonal

## Pm3Cd2In3 (PBE)

Data for Pm3Cd2In3 after structural relaxation.

Lattice parameters (Å, degrees): 4.6973 5.0039 9.6804 105.07 104.04 90.00
Fractional positions:
In 0.3663 0.8656 0.7325
Cd 0.2450 0.2449 0.4901
Pm 0.8634 0.3635 0.7268
In 0.5000 0.5000 0.0000
In 0.6337 0.1344 0.2675
Pm 0.0000 0.0000 0.0000
Cd 0.7550 0.7551 0.5099
Pm 0.1366 0.6365 0.2732

E_form = -0.3854 eV per atom
uncorrected energy = -3.4225 eV/atom
calculated volume = 26.58 Å³ per atom
crystal system = monoclinic
energy relative to the lowest polymorph listed for this composition = 36 meV/atom

> Among the records above, which one has the lowest calculated volume?

BRh2S2